(1)
Ni4SnP | PBE | optimized geometry

Unit cell a=13.626 b=3.792 c=6.470 alpha=90.00 beta=110.00 gamma=90.00
Space group C2/m (No. 12)
Asymmetric unit:
Ni: 0.037 0.000 0.356 [4 per cell]
Ni: 0.066 0.500 0.886 [4 per cell]
Ni: 0.167 0.000 0.158 [4 per cell]
Ni: 0.172 0.500 0.471 [4 per cell]
Sn: 0.197 0.000 0.770 [4 per cell]
P: 0.000 0.000 0.000 [2 per cell]
P: 0.000 0.500 0.500 [2 per cell]

Output
- Energy relative to the elements: -0.252 eV/atom
- Calculated density: 8129 kg/m3
- Density of states at the Fermi level: 3.55 states/eV/f.u.
- Uncorrected energy: -136.2 eV for the cell shown
- Relative energy among the computed polymorphs: 0 meV/atom
- V: 13.09 Å³/atom

---

(2)
Ca2HfBe2O6 | PBE | optimized geometry

Unit cell a=5.3720 b=5.3720 c=15.9229 alpha=90.00 beta=90.00 gamma=120.00
Space group R-3m (No. 166, hexagonal axes)
Asymmetric unit:
Ca: 0.0000 0.0000 0.2060 [6 per cell]
Hf: 0.0000 0.0000 0.0000 [3 per cell]
Be: 0.0000 0.0000 0.4188 [6 per cell]
O: 0.0046 0.5023 0.2484 [18 per cell]

Output
- Calculated density: 4665 kg/m3
- Density of states at the Fermi level: 0.00 states/eV/f.u.
- Uncorrected formation energy: -2.9303 eV per atom
- Uncorrected energy: -250.2 eV for the cell shown
- V: 12.06 Å³/atom

---

Among the records above, which one has the highest density of states at the Fermi level? Ni4SnP